A plane-wave DFT calculation with GGA+U was carried out for MnFe2TcO6 after structural relaxation.

Its symmetry is R3. The calculation puts the total energy at -7.35 eV per atom.

a b c (Å): 5.2102 5.2106 5.6011
angles (deg): 62.28 62.28 60.00
Last column: nearest neighbours and their distance in Å.
Atoms (fractional coordinates):
O1 0.9184 0.6019 0.2445  2 Fe 1.98-2.15, 1 Tc 2.02
O2 0.1303 0.3912 0.7591  2 Fe 1.99-2.19, 1 Tc 2.04, 1 Mn 2.11
O3 0.2352 0.9184 0.2445  2 Fe 1.98-2.15, 1 Tc 2.02
O4 0.3912 0.7194 0.7591  2 Fe 1.99-2.19, 1 Tc 2.04, 1 Mn 2.11
O5 0.6019 0.2351 0.2445  2 Fe 1.99-2.15, 1 Tc 2.02
O6 0.7194 0.1304 0.7591  2 Fe 1.99-2.19, 1 Tc 2.04, 1 Mn 2.11
Mn1 0.8067 0.8068 0.5799  6 O 2.11-2.29
Tc1 0.3190 0.3191 0.0429  6 O 2.02-2.04
Fe1 0.0161 0.0161 0.9518  6 O 1.99-2.15
Fe2 0.5234 0.5234 0.4298  6 O 1.98-2.19

A plane-wave DFT calculation with GGA+U was carried out for MnFeTeO6 after structural relaxation.

Its symmetry is P4_2nm. The calculation puts the density of states at the Fermi level at 2.65 states/eV/cell. The calculation puts the total energy at -6.20 eV per atom.

a b c (Å): 4.5446 4.5446 9.2928
angles (deg): 90.00 90.00 90.00
Last column: nearest neighbours and their distance in Å.
Atoms (fractional coordinates):
Te1 0.0000 0.0000 0.3317  6 O 1.95-1.99
Te2 0.5000 0.5000 0.8317  6 O 1.95-1.99
Fe1 0.5000 0.5000 0.1676  6 O 1.94-1.99
Fe2 0.0000 0.0000 0.6676  6 O 1.94-1.99
O1 0.8075 0.1925 0.4993  1 Mn 1.98, 1 Te 1.99, 1 Fe 1.99
O2 0.8017 0.1983 0.1716  1 Fe 1.94, 1 Te 1.96, 1 Mn 2.05
O3 0.3017 0.3017 0.6716  1 Fe 1.94, 1 Te 1.96, 1 Mn 2.05
O4 0.1963 0.8037 0.8301  1 Te 1.95, 1 Fe 1.97, 1 Mn 2.01
O5 0.6983 0.6983 0.6716  1 Fe 1.94, 1 Te 1.96, 1 Mn 2.05
O6 0.1925 0.8075 0.4993  1 Mn 1.98, 1 Te 1.99, 1 Fe 1.99
O7 0.6963 0.6963 0.3301  1 Te 1.95, 1 Fe 1.97, 1 Mn 2.01
O8 0.8037 0.1963 0.8301  1 Te 1.95, 1 Fe 1.97, 1 Mn 2.01
O9 0.6925 0.6925 0.9993  1 Mn 1.98, 1 Te 1.99, 1 Fe 1.99
O10 0.3075 0.3075 0.9993  1 Mn 1.98, 1 Te 1.99, 1 Fe 1.99
O11 0.3037 0.3037 0.3301  1 Te 1.95, 1 Fe 1.97, 1 Mn 2.01
O12 0.1983 0.8017 0.1716  1 Fe 1.94, 1 Te 1.96, 1 Mn 2.05
Mn1 0.5000 0.5000 0.4988  6 O 1.98-2.05
Mn2 0.0000 0.0000 0.9988  6 O 1.98-2.05

A plane-wave DFT calculation with GGA+U was carried out for Mn3Fe3Te2O16 after structural relaxation.

Its symmetry is P1. The calculation puts the total energy at -6.43 eV per atom.

a b c (Å): 5.9758 6.0069 9.2500
angles (deg): 91.22 90.75 119.60
Last column: nearest neighbours and their distance in Å.
Atoms (fractional coordinates):
O1 0.4689 0.9461 0.8525  1 Te 1.97, 1 Fe 2.05, 1 Mn 2.06
O2 0.1839 0.3475 0.1011  1 Te 1.98, 1 Mn 2.02, 1 Fe 2.06
O3 0.6565 0.3238 0.1066  1 Mn 1.90, 2 Fe 1.98-1.99
O4 0.5095 0.4698 0.3408  1 Mn 1.93, 1 Te 2.01, 1 Fe 2.14
O5 0.3507 0.1912 0.5959  1 Te 1.95, 2 Mn 2.01-2.14
O6 0.5105 0.0457 0.3432  1 Mn 1.95, 1 Te 2.00, 1 Fe 2.17
O7 0.8196 0.6594 0.5977  1 Te 1.93, 1 Mn 2.04, 1 Fe 2.04
O8 0.4722 0.5101 0.8411  1 Mn 1.93, 1 Te 2.01, 1 Fe 2.16
O9 0.8231 0.1793 0.6018  1 Te 1.96, 1 Fe 2.05, 1 Mn 2.07
O10 0.3170 0.6570 0.6103  2 Mn 1.91-1.92, 1 Fe 2.00
O11 0.6543 0.8201 0.0976  1 Te 1.92, 2 Fe 2.05-2.07
O12 0.1769 0.8220 0.1008  1 Te 1.95, 1 Fe 2.05, 1 Mn 2.07
O13 0.9525 0.4769 0.3538  1 Te 1.96, 2 Fe 2.07-2.08
O14 0.0152 0.0156 0.7971  2 Mn 1.91, 1 Fe 1.97
O15 0.0381 0.4909 0.8484  1 Mn 1.94, 1 Te 1.98
O16 0.0183 0.0104 0.2986  1 Mn 1.91, 2 Fe 1.95-1.96
Mn1 0.1747 0.3439 0.7112  6 O 1.91-2.07
Mn2 0.1669 0.8361 0.7056  4 O 1.91-2.06
Mn3 0.3460 0.1732 0.2105  6 O 1.90-2.07
Fe1 0.8391 0.6644 0.2096  6 O 1.96-2.14
Fe2 0.6639 0.8431 0.7103  6 O 1.97-2.16
Fe3 0.8407 0.1717 0.2066  6 O 1.95-2.17
Te1 0.3350 0.6614 0.9874  6 O 1.92-2.01
Te2 0.6667 0.3404 0.4873  6 O 1.93-2.01